# 1
First-principles (PBE) data for an optimized crystal structure of SbPbN3, as listed in Alexandria via LeMat-Bulk.

Cell and atoms, written as CIF:
```
data_SbPbN3
_chemical_formula_sum 'Sb1 Pb1 N3'
_cell_length_a 4.138
_cell_length_b 4.138
_cell_length_c 4.138
_cell_angle_alpha 90.00
_cell_angle_beta 90.00
_cell_angle_gamma 90.00
_space_group_name_H-M_alt 'P m -3 m'
_space_group_IT_number 221
_space_group_name_Hall '-P 4 2 3'
loop_
_atom_site_label
_atom_site_type_symbol
_atom_site_fract_x
_atom_site_fract_y
_atom_site_fract_z
Sb1 Sb 0.000 0.000 0.000
Pb1 Pb 0.500 0.500 0.500
N1 N 0.000 0.000 0.500
```

Output
D(E_F)   3.321 states/eV/f.u.
Formation energy without anion corrections   1.20 eV per atom



# 2
First-principles (PBE) data for an optimized crystal structure of Y4TePd, as listed in Alexandria via LeMat-Bulk.

Cell and atoms, written as CIF:
```
data_Y4TePd
_chemical_formula_sum 'Y16 Te4 Pd4'
_cell_length_a 8.355
_cell_length_b 3.962
_cell_length_c 19.677
_cell_angle_alpha 90.00
_cell_angle_beta 90.00
_cell_angle_gamma 90.00
_space_group_name_H-M_alt 'P n m a'
_space_group_IT_number 62
loop_
_space_group_symop_operation_xyz
'x,y,z'
'-x,-y,-z'
'-x+1/2,-y,z+1/2'
'x+1/2,y,-z+1/2'
'x+1/2,-y+1/2,-z+1/2'
'-x+1/2,y+1/2,z+1/2'
'-x,y+1/2,-z'
'x,-y+1/2,z'
loop_
_atom_site_label
_atom_site_type_symbol
_atom_site_fract_x
_atom_site_fract_y
_atom_site_fract_z
Y1 Y 0.014 0.250 0.070
Y2 Y 0.042 0.750 0.217
Y3 Y 0.136 0.750 0.653
Y4 Y 0.144 0.750 0.446
Te1 Te 0.244 0.250 0.313
Pd1 Pd 0.230 0.250 0.550
```

Output
D(E_F)   6.742 states/eV/f.u.
Formation energy without anion corrections   -0.76 eV per atom
Relative energy among the computed polymorphs   0.000 eV per atom



# 3
First-principles (PBE) data for an optimized crystal structure of Th8TcRh2, as listed in Alexandria via LeMat-Bulk.

Cell and atoms, written as CIF:
```
data_Th8TcRh2
_chemical_formula_sum 'Th16 Tc2 Rh4'
_cell_length_a 7.985
_cell_length_b 13.742
_cell_length_c 6.274
_cell_angle_alpha 90.00
_cell_angle_beta 114.30
_cell_angle_gamma 90.00
_space_group_name_H-M_alt 'C 1 m 1'
_space_group_IT_number 8
loop_
_space_group_symop_operation_xyz
'x,y,z'
'x,-y,z'
'x+1/2,y+1/2,z'
'x+1/2,-y+1/2,z'
loop_
_atom_site_label
_atom_site_type_symbol
_atom_site_fract_x
_atom_site_fract_y
_atom_site_fract_z
Th1 Th 0.000 0.000 0.000
Th2 Th 0.079 0.376 0.811
Th3 Th 0.108 0.128 0.564
Th4 Th 0.194 0.500 0.363
Th5 Th 0.359 0.202 0.188
Tc1 Tc 0.343 0.000 0.962
Rh1 Rh 0.340 0.299 0.692
```

Output
Energy relative to the elements   -20.12 kJ/mol of atoms
D(E_F)   13.968 states/eV/f.u.



# 4
First-principles (PBE) data for an optimized crystal structure of BaLiMoAs2, as listed in Alexandria via LeMat-Bulk.

Cell and atoms, written as CIF:
```
data_BaLiMoAs2
_chemical_formula_sum 'Ba1 Li1 Mo1 As2'
_cell_length_a 5.578
_cell_length_b 5.578
_cell_length_c 4.709
_cell_angle_alpha 90.00
_cell_angle_beta 90.00
_cell_angle_gamma 90.00
_space_group_name_H-M_alt 'P 4/m m m'
_space_group_IT_number 123
_space_group_name_Hall '-P 4 2'
loop_
_atom_site_label
_atom_site_type_symbol
_atom_site_fract_x
_atom_site_fract_y
_atom_site_fract_z
Ba1 Ba 0.000 0.000 0.000
Li1 Li 0.000 0.000 0.500
Mo1 Mo 0.500 0.500 0.500
As1 As 0.000 0.500 0.000
```

Output
Energy relative to the elements   180.44 kJ/mol of atoms
D(E_F)   9.103 states/eV/f.u.



# 5
First-principles (PBE) data for an optimized crystal structure of LaAl4Rh, as listed in Alexandria via LeMat-Bulk.

Cell and atoms, written as CIF:
```
data_LaAl4Rh
_chemical_formula_sum 'La4 Al16 Rh4'
_cell_length_a 7.718
_cell_length_b 7.718
_cell_length_c 7.718
_cell_angle_alpha 90.00
_cell_angle_beta 90.00
_cell_angle_gamma 90.00
_space_group_name_H-M_alt 'F -4 3 m'
_space_group_IT_number 216
_space_group_name_Hall 'F -4 2 3'
loop_
_atom_site_label
_atom_site_type_symbol
_atom_site_fract_x
_atom_site_fract_y
_atom_site_fract_z
La1 La 0.000 0.000 0.000
Al1 Al 0.126 0.126 0.374
Rh1 Rh 0.250 0.250 0.750
```

Output
Energy relative to the elements   -16.49 kJ/mol of atoms
D(E_F)   5.228 states/eV/f.u.



# 6
First-principles (PBE) data for an optimized crystal structure of Sr2ScMn, as listed in Alexandria via LeMat-Bulk.

Cell and atoms, written as CIF:
```
data_Sr2ScMn
_chemical_formula_sum 'Sr2 Sc1 Mn1'
_cell_length_a 3.867
_cell_length_b 3.867
_cell_length_c 8.838
_cell_angle_alpha 90.00
_cell_angle_beta 90.00
_cell_angle_gamma 90.00
_space_group_name_H-M_alt 'P 4/m m m'
_space_group_IT_number 123
_space_group_name_Hall '-P 4 2'
loop_
_atom_site_label
_atom_site_type_symbol
_atom_site_fract_x
_atom_site_fract_y
_atom_site_fract_z
Sr1 Sr 0.000 0.000 0.218
Sc1 Sc 0.500 0.500 0.500
Mn1 Mn 0.500 0.500 0.000
```

Output
Energy relative to the elements   50.53 kJ/mol of atoms
D(E_F)   4.646 states/eV/f.u.
Relative energy among the computed polymorphs   0.230 eV per atom



# 7
First-principles (PBE) data for an optimized crystal structure of NaSiAu, as listed in Alexandria via LeMat-Bulk.

Cell and atoms, written as CIF:
```
data_NaSiAu
_chemical_formula_sum 'Na4 Si4 Au4'
_cell_length_a 11.110
_cell_length_b 4.355
_cell_length_c 6.077
_cell_angle_alpha 90.00
_cell_angle_beta 115.03
_cell_angle_gamma 90.00
_space_group_name_H-M_alt 'C 1 2/m 1'
_space_group_IT_number 12
loop_
_space_group_symop_operation_xyz
'x,y,z'
'-x,-y,-z'
'-x,y,-z'
'x,-y,z'
'x+1/2,y+1/2,z'
'-x+1/2,-y+1/2,-z'
'-x+1/2,y+1/2,-z'
'x+1/2,-y+1/2,z'
loop_
_atom_site_label
_atom_site_type_symbol
_atom_site_fract_x
_atom_site_fract_y
_atom_site_fract_z
Na1 Na 0.116 0.000 0.298
Si1 Si 0.096 0.500 0.682
Au1 Au 0.188 0.000 0.845
```

Output
D(E_F)   0.563 states/eV/f.u.
Formation energy without anion corrections   -0.21 eV per atom



# 8
First-principles (PBE) data for an optimized crystal structure of RbBa5Hg6, as listed in Alexandria via LeMat-Bulk.

Cell and atoms, written as CIF:
```
data_RbBa5Hg6
_chemical_formula_sum 'Rb2 Ba10 Hg12'
_cell_length_a 5.988
_cell_length_b 17.996
_cell_length_c 8.428
_cell_angle_alpha 90.00
_cell_angle_beta 90.00
_cell_angle_gamma 90.00
_space_group_name_H-M_alt 'C m m m'
_space_group_IT_number 65
_space_group_name_Hall '-C 2 2'
loop_
_atom_site_label
_atom_site_type_symbol
_atom_site_fract_x
_atom_site_fract_y
_atom_site_fract_z
Rb1 Rb 0.000 0.000 0.000
Ba1 Ba 0.000 0.000 0.500
Ba2 Ba 0.000 0.333 0.500
Ba3 Ba 0.000 0.336 0.000
Hg1 Hg 0.000 0.172 0.255
Hg2 Hg 0.000 0.500 0.264
```

Output
Energy relative to the elements   -43.62 kJ/mol of atoms
D(E_F)   11.561 states/eV/f.u.